## Sc2NiPt (PBE-GGA)

Data for Sc2NiPt after structural relaxation.

Calculated total energy   -6.85 eV/atom
SG   No. 44
Total moment   0.000 μB/atom
DFT formation energy   -0.73 eV per atom

Unit cell a=5.2780 b=5.2780 c=5.2780 alpha=138.34 beta=135.42 gamma=62.65
With the nearest neighbours (Å) after each atom.
Positions (direct):
Sc1 0.0000 0.0000 0.0000  4 Pt 2.74, 4 Ni 2.90-3.05, 4 Sc 2.97-2.98
Sc2 0.7438 0.2438 0.5000  4 Ni 2.74, 4 Pt 2.92-3.02, 4 Sc 2.97-2.98
Ni1 0.2445 0.7445 0.5000  8 Sc 2.74-3.05, 4 Pt 2.94-3.01
Pt1 0.4952 0.4952 0.0000  8 Sc 2.74-3.02, 4 Ni 2.94-3.01